This record from Alexandria via LeMat-Bulk describes a relaxed structure of Zr2TaCr. The functional is PBE.

Structure (POSCAR):
```
Zr2TaCr
1.0
-1.098 -3.020 -4.609
1.987 -3.713 -3.719
-1.260 -4.595 0.784
Zr Ta Cr
2 1 1
Cartesian
0.883 -6.727 -8.303
-0.231 -8.543 -5.857
-0.169 -2.757 -1.562
-0.150 -5.698 -3.921
```

Computed properties:
Its total energy is -9.513 eV per atom. The energy above the most stable polymorph in this dataset is 3.6 kJ per mole of atoms. The crystal system is orthorhombic. Its space group is Imm2 (44).



This record from Alexandria via LeMat-Bulk describes a relaxed structure of Zr2TaCr. The functional is PBE.

Structure (POSCAR):
```
Zr2TaCr
1.0
7.479 0.000 0.000
0.000 7.479 0.000
3.740 3.740 2.835
Ta Zr Cr
2 4 2
Cartesian
7.479 3.740 1.417
0.000 0.000 0.000
2.061 5.610 0.709
9.349 9.158 2.126
5.419 1.870 0.709
5.610 5.801 2.126
3.740 7.479 1.417
3.740 3.740 0.000
```

Computed properties:
Its total energy is -8.978 eV per atom. The energy above the most stable polymorph in this dataset is 55.2 kJ per mole of atoms. The crystal system is tetragonal. Its space group is I-42d (122).



This record from Alexandria via LeMat-Bulk describes a relaxed structure of Zr2TaCr. The functional is PBE.

Structure (POSCAR):
```
Zr2TaCr
1.0
-0.354 2.218 4.045
-0.937 -2.547 1.314
4.749 -2.347 1.702
Zr Ta Cr
2 1 1
Cartesian
1.908 -2.297 1.427
-0.002 -0.150 0.082
2.682 -2.561 4.285
0.776 -0.115 2.777
```

Computed properties:
Its total energy is -9.344 eV per atom. The energy above the most stable polymorph in this dataset is 19.8 kJ per mole of atoms. The crystal system is monoclinic. Its space group is P2/m (10).



This record from Alexandria via LeMat-Bulk describes a relaxed structure of ZrTa2Cr. The functional is PBE.

Structure (POSCAR):
```
ZrTa2Cr
1.0
2.903 -0.001 0.000
-1.119 2.679 0.000
0.000 0.000 9.143
Zr Cr Ta
1 1 2
Cartesian
0.892 1.339 2.286
0.892 1.339 6.857
0.000 0.000 4.891
0.000 0.000 8.824
```

Computed properties:
Its total energy is -10.321 eV per atom. The energy above the most stable polymorph in this dataset is 6.2 kJ per mole of atoms. The crystal system is orthorhombic. Its space group is Cmmm (65).



This record from Alexandria via LeMat-Bulk describes a relaxed structure of Zr2TaCr. The functional is PBE.

Structure (POSCAR):
```
Zr2TaCr
1.0
2.970 -0.005 0.000
-1.173 2.728 0.000
0.000 0.000 9.343
Zr Ta Cr
2 1 1
Cartesian
0.000 0.000 9.197
0.898 1.362 2.689
0.898 1.362 6.682
0.000 0.000 4.791
```

Computed properties:
Its total energy is -9.452 eV per atom. The energy above the most stable polymorph in this dataset is 9.4 kJ per mole of atoms. The crystal system is orthorhombic. Its space group is Cmm2 (35).



This record from Alexandria via LeMat-Bulk describes a relaxed structure of Zr2TaCr. The functional is PBE.

Structure (POSCAR):
```
Zr2TaCr
1.0
-0.814 -4.792 -2.696
2.422 -4.268 -2.610
0.574 -3.977 2.626
Zr Cr Ta
2 1 1
Cartesian
1.062 -6.376 -1.118
0.603 -4.120 2.403
1.636 -9.778 -2.010
0.545 -3.259 -0.670
```

Computed properties:
Its total energy is -9.421 eV per atom. The energy above the most stable polymorph in this dataset is 12.4 kJ per mole of atoms. The crystal system is orthorhombic. Its space group is Immm (71).



This record from Alexandria via LeMat-Bulk describes a relaxed structure of ZrTa2Cr. The functional is PBE.

Structure (POSCAR):
```
ZrTa2Cr
1.0
-1.555 3.165 1.625
-3.434 -1.799 0.219
-0.073 -2.826 10.073
Ta Zr Cr
4 2 2
Cartesian
-1.410 1.027 3.551
-1.947 -1.619 8.248
-4.399 -0.913 9.167
-2.369 -1.416 2.868
-2.061 0.511 6.310
0.000 0.000 0.000
-2.495 0.683 0.922
-3.001 -1.971 5.607
```

Computed properties:
Its total energy is -9.716 eV per atom. The energy above the most stable polymorph in this dataset is 64.6 kJ per mole of atoms. The crystal system is tetragonal. Its space group is I-42d (122).



This record from Alexandria via LeMat-Bulk describes a relaxed structure of Zr2TaCr. The functional is PBE.

Structure (POSCAR):
```
Zr2TaCr
1.0
3.299 0.000 0.000
0.000 4.810 0.000
0.000 0.000 4.757
Cr Zr Ta
1 2 1
Cartesian
1.649 0.000 2.379
1.649 2.405 0.000
0.000 0.000 0.000
0.000 2.405 2.379
```

Computed properties:
Its total energy is -9.349 eV per atom. The energy above the most stable polymorph in this dataset is 19.4 kJ per mole of atoms. The crystal system is orthorhombic. Its space group is Pmmm (47).



This record from Alexandria via LeMat-Bulk describes a relaxed structure of TbCr6. The functional is PBE.

Structure (POSCAR):
```
TbCr6
1.0
5.402 0.000 0.000
-1.801 5.093 0.000
-1.801 -2.547 4.411
Cr Tb
6 1
Cartesian
0.900 3.183 1.103
0.900 -0.637 3.308
-0.900 0.637 3.308
-0.900 2.547 2.206
2.701 1.910 1.103
2.701 0.000 2.206
0.000 0.000 0.000
```

Computed properties:
Its total energy is -7.673 eV per atom. The crystal system is cubic. Its space group is Im-3m (229).



This record from Alexandria via LeMat-Bulk describes a relaxed structure of TbCrTc. The functional is PBE.

Structure (POSCAR):
```
TbCrTc
1.0
5.742 0.000 0.000
0.000 5.390 0.000
0.000 0.000 7.392
Tb Tc Cr
4 4 4
Cartesian
3.571 2.695 1.184
2.171 2.695 4.881
2.171 0.000 6.965
3.571 0.000 3.269
0.669 1.348 2.227
5.073 1.348 5.923
5.073 4.043 5.923
0.669 4.043 2.227
0.575 2.695 0.206
5.166 0.000 0.551
5.166 2.695 3.902
0.575 0.000 4.247
```

Computed properties:
Its total energy is -8.114 eV per atom. The crystal system is orthorhombic. Its space group is Pbcm (57).



This record from Alexandria via LeMat-Bulk describes a relaxed structure of TbCrTc2. The functional is PBE.

Structure (POSCAR):
```
TbCrTc2
1.0
2.988 0.000 0.000
1.494 2.587 0.000
1.494 0.862 8.683
Tc Cr Tb
2 1 1
Cartesian
1.494 0.862 1.798
4.482 2.587 6.884
0.000 0.000 0.000
2.988 1.725 4.341
```

Computed properties:
Its total energy is -8.292 eV per atom. The crystal system is trigonal. Its space group is R-3m (166).



This record from Alexandria via LeMat-Bulk describes a relaxed structure of Tb2Tl3CrTe6. The functional is PBE.

Structure (POSCAR):
```
Tb2Tl3CrTe6
1.0
-6.134 -2.772 3.385
6.850 -1.709 2.631
-0.488 7.978 2.855
Te Cr Tb Tl
6 1 2 3
Cartesian
2.162 3.036 6.859
-1.934 0.461 2.012
-1.823 2.710 7.090
0.443 -1.730 5.197
-0.215 5.227 3.673
2.052 0.787 1.780
0.000 0.000 0.000
2.499 -2.065 2.883
-1.782 -2.416 3.132
-4.065 1.406 4.678
4.294 2.091 4.193
0.114 1.749 4.435
```

Computed properties:
Its total energy is -4.482 eV per atom. The crystal system is monoclinic. Its space group is C2/m (12). The formation energy without anion corrections is -746 meV/atom.



This record from Alexandria via LeMat-Bulk describes a relaxed structure of TbYZnCr. The functional is PBE.

Structure (POSCAR):
```
TbYZnCr
1.0
5.064 0.000 0.000
2.532 4.386 0.000
2.532 1.462 4.135
Y Cr Tb Zn
1 1 1 1
Cartesian
2.532 1.462 1.034
5.064 2.924 2.067
7.596 4.386 3.101
0.000 0.000 0.000
```

Computed properties:
Its total energy is -5.488 eV per atom. The crystal system is cubic. Its space group is F-43m (216).



This record from Alexandria via LeMat-Bulk describes a relaxed structure of TbZn4Cr. The functional is PBE.

Structure (POSCAR):
```
TbZn4Cr
1.0
-1.047 -5.116 0.145
2.936 -3.346 -2.735
3.242 -3.260 2.480
Zn Tb Cr
4 1 1
Cartesian
1.734 -5.652 1.307
3.738 -4.761 -0.142
1.580 -5.695 -1.316
3.211 -7.335 -0.069
1.283 -2.930 -0.027
0.000 0.000 0.000
```

Computed properties:
Its total energy is -3.364 eV per atom. The crystal system is cubic. Its space group is F-43m (216).



This record from Alexandria via LeMat-Bulk describes a relaxed structure of TbZr2Cr. The functional is PBE.

Structure (POSCAR):
```
TbZr2Cr
1.0
-3.202 -0.251 0.128
-1.428 -2.773 -0.779
-0.912 -4.080 9.554
Zr Cr Tb
2 1 1
Cartesian
-1.109 -3.119 6.498
-4.432 -3.985 2.406
-2.771 -3.552 4.452
0.000 0.000 0.000
```

Computed properties:
Its total energy is -7.378 eV per atom. The crystal system is trigonal. Its space group is R-3m (166).



This record from Alexandria via LeMat-Bulk describes a relaxed structure of TbZrCr4. The functional is PBE.

Structure (POSCAR):
```
TbZrCr4
1.0
5.128 0.000 0.000
2.564 4.441 0.000
2.564 1.480 4.187
Cr Tb Zr
4 1 1
Cartesian
5.128 2.961 0.522
6.411 3.701 2.617
5.128 1.479 2.617
3.845 3.701 2.617
0.000 0.000 0.000
2.564 1.480 1.047
```

Computed properties:
Its total energy is -8.414 eV per atom. The crystal system is cubic. Its space group is F-43m (216).



This record from Alexandria via LeMat-Bulk describes a relaxed structure of Cr5Tc3. The functional is PBE.

Structure (POSCAR):
```
Cr5Tc3
1.0
-0.693 6.747 -2.411
-0.228 1.287 -7.079
-4.748 -0.463 0.069
Cr Tc
10 6
Cartesian
-1.341 1.380 -0.517
-5.055 2.215 -3.094
-3.612 -0.062 -1.517
-4.100 4.904 -1.825
-1.777 5.421 -3.429
-2.058 7.633 -7.904
-2.681 2.446 -3.129
-3.892 2.150 -5.992
-5.362 4.893 -6.258
-2.988 5.124 -6.292
-4.064 3.615 -7.983
-4.392 7.176 -6.631
-1.600 3.336 -5.211
-4.070 4.234 -4.211
-1.971 7.141 -5.201
-1.834 5.243 -8.517
```

Computed properties:
Its total energy is -9.541 eV per atom. The energy above the most stable polymorph in this dataset is 13.0 kJ per mole of atoms. The crystal system is hexagonal. Its space group is P6_3/mcm (193).



This record from Alexandria via LeMat-Bulk describes a relaxed structure of CrTc2. The functional is PBE.

Structure (POSCAR):
```
CrTc2
1.0
-0.070 1.483 -3.739
-3.216 -2.266 -0.839
-1.735 2.137 0.880
Tc Cr
2 1
Cartesian
-0.903 1.810 -1.429
-2.476 -0.064 0.021
0.000 0.000 0.000
```

Computed properties:
Its total energy is -9.337 eV per atom. The energy above the most stable polymorph in this dataset is 66.0 kJ per mole of atoms. The crystal system is tetragonal. Its space group is P4/mmm (123).



This record from Alexandria via LeMat-Bulk describes a relaxed structure of CrTc2. The functional is PBE.

Structure (POSCAR):
```
CrTc2
1.0
-5.895 1.540 0.242
3.189 -0.673 5.154
1.000 3.847 -0.116
Cr Tc
3 6
Cartesian
0.500 1.924 -0.058
-2.867 0.802 1.879
0.161 0.065 3.516
-2.964 2.828 0.084
0.811 -0.171 1.311
-1.500 0.392 0.061
-2.018 0.646 4.023
-0.616 2.281 2.167
2.374 1.528 2.970
```

Computed properties:
Its total energy is -9.851 eV per atom. The energy above the most stable polymorph in this dataset is 16.4 kJ per mole of atoms. The crystal system is hexagonal. Its space group is P-62m (189).



This record from Alexandria via LeMat-Bulk describes a relaxed structure of CrTc2. The functional is PBE.

Structure (POSCAR):
```
CrTc2
1.0
-3.091 -4.676 -1.022
4.105 -3.215 2.297
-2.462 0.509 5.113
Tc Cr
8 4
Cartesian
1.294 -5.678 2.020
-2.742 -1.704 4.367
-0.534 -2.724 2.357
-1.494 -5.183 0.629
-0.913 -4.658 4.030
0.046 -2.199 5.758
2.254 -3.219 3.749
-3.702 -4.163 2.639
-2.776 -2.083 2.045
0.822 -1.353 3.705
0.507 -3.946 0.637
0.000 0.000 0.000
```

Computed properties:
Its total energy is -9.248 eV per atom. The energy above the most stable polymorph in this dataset is 74.7 kJ per mole of atoms. The crystal system is cubic. Its space group is Pa-3 (205).



This record from Alexandria via LeMat-Bulk describes a relaxed structure of CrTc2. The functional is PBE.

Structure (POSCAR):
```
CrTc2
1.0
0.000 3.586 3.586
3.586 0.000 3.586
3.586 3.586 0.000
Tc Cr
4 2
Cartesian
2.689 0.896 2.689
0.896 2.689 2.689
0.896 0.896 0.896
2.689 2.689 0.896
3.586 3.586 3.586
5.379 5.379 5.379
```

Computed properties:
Its total energy is -9.697 eV per atom. The energy above the most stable polymorph in this dataset is 31.4 kJ per mole of atoms. The crystal system is cubic. Its space group is Fd-3m (227).



This record from Alexandria via LeMat-Bulk describes a relaxed structure of CrTc2. The functional is PBE.

Structure (POSCAR):
```
CrTc2
1.0
-3.571 -1.795 -1.406
2.320 -1.939 2.968
-1.376 1.254 1.895
Cr Tc
1 2
Cartesian
0.000 0.000 0.000
-0.040 -1.530 2.056
-2.587 -0.951 1.401
```

Computed properties:
Its total energy is -9.982 eV per atom. The energy above the most stable polymorph in this dataset is 3.8 kJ per mole of atoms. The crystal system is trigonal. Its space group is P-3m1 (164).



This record from Alexandria via LeMat-Bulk describes a relaxed structure of Cr5Tc. The functional is PBE.

Structure (POSCAR):
```
Cr5Tc
1.0
-2.330 -1.324 1.095
3.882 -2.151 1.831
1.072 2.393 5.173
Cr Tc
5 1
Cartesian
2.279 -1.368 3.196
0.617 0.947 2.456
0.546 -0.294 4.634
1.143 2.105 4.977
2.806 -0.210 5.717
0.010 -1.490 2.047
```

Computed properties:
Its total energy is -9.728 eV per atom. The energy above the most stable polymorph in this dataset is 0.6 kJ per mole of atoms. The crystal system is monoclinic. Its space group is C2/m (12).



This record from Alexandria via LeMat-Bulk describes a relaxed structure of CrTc2. The functional is PBE.

Structure (POSCAR):
```
CrTc2
1.0
-2.827 -0.713 -0.681
2.746 -4.224 -0.390
-0.256 -1.467 2.597
Tc Cr
2 1
Cartesian
0.745 -4.102 1.207
-1.081 -2.302 0.319
0.000 0.000 0.000
```

Computed properties:
Its total energy is -10.005 eV per atom. The energy above the most stable polymorph in this dataset is 1.6 kJ per mole of atoms. The crystal system is tetragonal. Its space group is I4/mmm (139).



This record from Alexandria via LeMat-Bulk describes a relaxed structure of CrTc2. The functional is PBE.

Structure (POSCAR):
```
CrTc2
1.0
-2.966 2.966 2.375
2.966 -2.966 2.375
2.966 2.966 -2.375
Tc Cr
4 2
Cartesian
2.062 0.903 0.000
0.903 3.869 0.000
0.903 2.062 2.375
2.062 -0.903 2.375
0.000 0.000 1.188
0.000 0.000 3.563
```

Computed properties:
Its total energy is -9.992 eV per atom. The energy above the most stable polymorph in this dataset is 2.9 kJ per mole of atoms. The crystal system is tetragonal. Its space group is I4/mcm (140).



This record from Alexandria via LeMat-Bulk describes a relaxed structure of CrTc2. The functional is PBE.

Structure (POSCAR):
```
CrTc2
1.0
-4.037 -2.604 -2.259
2.325 -3.337 -0.309
-2.371 -2.289 6.875
Cr Tc
4 8
Cartesian
-0.514 -4.271 1.872
-2.311 -3.392 5.772
-1.771 -4.838 -1.465
-3.568 -3.959 2.435
0.241 -3.526 -0.492
-4.323 -4.704 4.799
-2.627 -5.648 0.842
-2.193 -2.831 0.604
-1.889 -5.399 3.703
-1.455 -2.581 3.465
-4.014 -6.803 2.881
-0.069 -1.426 1.426
```

Computed properties:
Its total energy is -10.000 eV per atom. The energy above the most stable polymorph in this dataset is 2.1 kJ per mole of atoms. The crystal system is orthorhombic. Its space group is Pnma (62).